Density functional theory data (GGA-PBE) for a geometry-optimized SrNb2C structure.

POSCAR file:
```
SrNb2C
1.0
0.000 4.664 4.664
4.664 0.000 4.664
4.664 4.664 0.000
Sr Nb C
2 4 2
Direct
0.125 0.125 0.125
0.875 0.875 0.875
0.000 0.500 0.500
0.500 0.000 0.500
0.500 0.500 0.000
0.500 0.500 0.500
0.375 0.375 0.375
0.625 0.625 0.625
```

Formation energy (meV/atom): 575
Mass density (g/cm3): 4.7
Crystal system: cubic
SG: Fd-3m, No. 227

---

Density functional theory data (GGA-PBE) for a geometry-optimized SbPd2Au2 structure.

POSCAR file:
```
SbPd2Au2
1.0
1.543 0.891 11.428
-1.543 0.891 11.428
0.000 -1.781 11.428
Sb Pd Au
1 2 2
Direct
0.000 0.000 0.000
0.273 0.273 0.273
0.727 0.727 0.727
0.459 0.459 0.459
0.541 0.541 0.541
```

ΔE to the lowest computed polymorph (meV per atom): 84
Mass density (g/cm3): 12.8
Crystal system: trigonal
SG: R-3m, No. 166
Formation energy (no corrections) (meV per atom): -33

---

Density functional theory data (GGA-PBE) for a geometry-optimized ZrSe3O9 structure.

POSCAR file:
```
ZrSe3O9
1.0
7.014 -3.702 0.000
7.014 3.702 0.000
-5.539 0.000 8.409
Zr Se O
2 6 18
Direct
0.201 0.799 0.500
0.799 0.201 0.000
0.232 0.313 0.798
0.313 0.232 0.298
0.457 0.659 0.226
0.659 0.457 0.726
0.737 0.915 0.163
0.915 0.737 0.663
0.098 0.199 0.140
0.165 0.493 0.695
0.199 0.098 0.640
0.221 0.501 0.339
0.245 0.631 0.085
0.429 0.684 0.701
0.440 0.725 0.409
0.493 0.165 0.195
0.501 0.221 0.839
0.507 0.842 0.237
0.631 0.245 0.585
0.684 0.429 0.201
0.725 0.440 0.909
0.784 0.985 0.054
0.842 0.507 0.737
0.926 0.957 0.340
0.957 0.926 0.840
0.985 0.784 0.554
```

Mass density (g/cm3): 3.6
Crystal system: monoclinic
SG: Cc, No. 9
Formation energy (no corrections) (meV per atom): -1255